Entry 1:
This record from the Alexandria database describes a relaxed La8Y2Er crystal. The functional is PBE.

Results
Its space-group type is No. 12. The energy relative to the elements comes out at 127 meV per atom. Its density of states at the Fermi level is 15.52 states/eV per cell. Its total energy is -5.05 eV/atom.

Lattice parameters (Å, degrees): 9.651 9.651 6.070 105.65 105.65 122.53
Fractional positions:
La 0.096 0.334 0.686
La 0.205 0.795 0.000
La 0.334 0.096 0.686
La 0.420 0.420 0.200
La 0.580 0.580 0.800
La 0.666 0.904 0.314
La 0.795 0.205 0.000
La 0.904 0.666 0.314
Y 0.311 0.689 0.500
Y 0.689 0.311 0.500
Er 0.000 0.000 0.000



Entry 2:
This record from the Alexandria database describes a relaxed LaY7Er12 crystal. The functional is PBE.

Results
Its space-group type is No. 148. The energy relative to the elements comes out at 248 meV per atom. Its density of states at the Fermi level is 36.29 states/eV per cell. Its total energy is -5.00 eV/atom.

Lattice parameters (Å, degrees): 8.694 8.694 8.694 87.36 87.36 87.36
Fractional positions:
La 0.000 0.000 0.000
Y 0.002 0.876 0.368
Y 0.124 0.632 0.998
Y 0.368 0.002 0.876
Y 0.500 0.500 0.500
Y 0.632 0.998 0.124
Y 0.876 0.368 0.002
Y 0.998 0.124 0.632
Er 0.107 0.435 0.347
Er 0.235 0.356 0.762
Er 0.238 0.765 0.644
Er 0.347 0.107 0.435
Er 0.356 0.762 0.235
Er 0.435 0.347 0.107
Er 0.565 0.653 0.893
Er 0.644 0.238 0.765
Er 0.653 0.893 0.565
Er 0.762 0.235 0.356
Er 0.765 0.644 0.238
Er 0.893 0.565 0.653



Entry 3:
This record from the Alexandria database describes a relaxed La2Y2Er5 crystal. The functional is PBE.

Results
Its space-group type is No. 12. The energy relative to the elements comes out at 217 meV per atom. Its density of states at the Fermi level is 13.84 states/eV per cell. Its total energy is -4.85 eV/atom.

Lattice parameters (Å, degrees): 10.969 10.969 8.294 100.25 100.25 18.29
Fractional positions:
La 0.181 0.181 0.143
La 0.819 0.819 0.857
Y 0.454 0.454 0.643
Y 0.546 0.546 0.357
Er 0.000 0.000 0.000
Er 0.096 0.096 0.733
Er 0.309 0.309 0.467
Er 0.691 0.691 0.533
Er 0.904 0.904 0.267